Record 1
# BeTlAu | Alexandria | PBE | optimized geometry
data_BeTlAu
_chemical_formula_sum 'Be4 Tl4 Au4'
_symmetry_space_group_name_H-M 'F -4 3 m'
_symmetry_Int_Tables_number 216
_symmetry_space_group_name_Hall 'F -4 2 3'
_cell_length_a 6.0756
_cell_length_b 6.0756
_cell_length_c 6.0756
_cell_angle_alpha 90.00
_cell_angle_beta 90.00
_cell_angle_gamma 90.00
loop_
_atom_site_label
_atom_site_fract_x
_atom_site_fract_y
_atom_site_fract_z
Be1 0.0000 0.0000 0.0000
Tl1 0.2500 0.2500 0.2500
Au1 0.2500 0.2500 0.7500
# Formation energy: 242 meV/atom
# Energy relative to the lowest polymorph listed for this composition: 271 meV/atom

---

Record 2
# FeNiRu2 | Alexandria | PBE | optimized geometry
data_FeNiRu2
_chemical_formula_sum 'Fe2 Ni2 Ru4'
_symmetry_space_group_name_H-M 'C m m m'
_symmetry_Int_Tables_number 65
_symmetry_space_group_name_Hall '-C 2 2'
_cell_length_a 5.2862
_cell_length_b 7.2001
_cell_length_c 2.6568
_cell_angle_alpha 90.00
_cell_angle_beta 90.00
_cell_angle_gamma 90.00
loop_
_atom_site_label
_atom_site_fract_x
_atom_site_fract_y
_atom_site_fract_z
Fe1 0.0000 0.0000 0.0000
Ni1 0.0000 0.5000 0.0000
Ru1 0.2500 0.2500 0.5000
# Formation energy: 153 meV/atom

---

Record 3
# Ba2ZrCu | Alexandria | PBE | optimized geometry
data_Ba2ZrCu
_chemical_formula_sum 'Ba4 Zr2 Cu2'
_symmetry_space_group_name_H-M 'I -4 m 2'
_symmetry_Int_Tables_number 119
_symmetry_space_group_name_Hall 'I -4 -2'
_cell_length_a 4.8693
_cell_length_b 4.8693
_cell_length_c 11.1751
_cell_angle_alpha 90.00
_cell_angle_beta 90.00
_cell_angle_gamma 90.00
loop_
_atom_site_label
_atom_site_fract_x
_atom_site_fract_y
_atom_site_fract_z
Ba1 0.0000 0.0000 0.0000
Ba2 0.0000 0.5000 0.2500
Zr1 0.0000 0.0000 0.5000
Cu1 0.0000 0.5000 0.7500
# Formation energy: 711 meV/atom
# Energy relative to the lowest polymorph listed for this composition: 448 meV/atom

---

Record 4
# AgTeO3 | Alexandria | PBE | optimized geometry
data_AgTeO3
_chemical_formula_sum 'Ag4 Te4 O12'
_symmetry_space_group_name_H-M 'P 1 21/m 1'
_symmetry_Int_Tables_number 11
_cell_length_a 5.5589
_cell_length_b 7.5203
_cell_length_c 7.0453
_cell_angle_alpha 90.00
_cell_angle_beta 100.93
_cell_angle_gamma 90.00
loop_
_symmetry_equiv_pos_as_xyz
'x,y,z'
'-x,-y,-z'
'-x,y+1/2,-z'
'x,-y+1/2,z'
loop_
_atom_site_label
_atom_site_fract_x
_atom_site_fract_y
_atom_site_fract_z
Ag1 0.0000 0.0000 0.0000
Ag2 0.4314 0.2500 0.1821
Te1 0.0000 0.0000 0.5000
Te2 0.4814 0.7500 0.3172
O1 0.1031 0.7500 0.5633
O2 0.2275 0.0103 0.3229
O3 0.2617 0.0638 0.7209
O4 0.3439 0.7500 0.0542
# Formation energy without anion corrections: -0.704 eV/atom

---

Record 5
# PmNd2Sm2 | Alexandria | PBE | optimized geometry
data_PmNd2Sm2
_chemical_formula_sum 'Pm8 Nd16 Sm16'
_symmetry_space_group_name_H-M 'F d d d'
_symmetry_Int_Tables_number 70
_cell_length_a 5.7076
_cell_length_b 11.5952
_cell_length_c 23.2263
_cell_angle_alpha 90.00
_cell_angle_beta 90.00
_cell_angle_gamma 90.00
loop_
_symmetry_equiv_pos_as_xyz
'x,y,z'
'-x,-y,-z'
'-x+1/4,-y+1/4,z'
'x+1/4,y+1/4,-z'
'x,-y+1/4,-z+1/4'
'-x,y+1/4,z+1/4'
'-x+1/4,y,-z+1/4'
'x+1/4,-y,z+1/4'
'x,y+1/2,z+1/2'
'-x,-y+1/2,-z+1/2'
'-x+1/4,-y+3/4,z+1/2'
'x+1/4,y+3/4,-z+1/2'
'x,-y+3/4,-z+3/4'
'-x,y+3/4,z+3/4'
'-x+1/4,y+1/2,-z+3/4'
'x+1/4,-y+1/2,z+3/4'
'x+1/2,y,z+1/2'
'-x+1/2,-y,-z+1/2'
'-x+3/4,-y+1/4,z+1/2'
'x+3/4,y+1/4,-z+1/2'
'x+1/2,-y+1/4,-z+3/4'
'-x+1/2,y+1/4,z+3/4'
'-x+3/4,y,-z+3/4'
'x+3/4,-y,z+3/4'
'x+1/2,y+1/2,z'
'-x+1/2,-y+1/2,-z'
'-x+3/4,-y+3/4,z'
'x+3/4,y+3/4,-z'
'x+1/2,-y+3/4,-z+1/4'
'-x+1/2,y+3/4,z+1/4'
'-x+3/4,y+1/2,-z+1/4'
'x+3/4,-y+1/2,z+1/4'
loop_
_atom_site_label
_atom_site_fract_x
_atom_site_fract_y
_atom_site_fract_z
Pm1 0.1250 0.1250 0.1250
Nd1 0.1250 0.2880 0.6250
Sm1 0.0000 0.0000 0.0000
# Formation energy: 453 meV/atom
# Energy relative to the lowest polymorph listed for this composition: 424 meV/atom

---

Record 6
# AlCd2Te | Alexandria | PBE | optimized geometry
data_AlCd2Te
_chemical_formula_sum 'Al1 Cd2 Te1'
_symmetry_space_group_name_H-M 'P 4 m m'
_symmetry_Int_Tables_number 99
_cell_length_a 3.8631
_cell_length_b 3.8631
_cell_length_c 6.6801
_cell_angle_alpha 90.00
_cell_angle_beta 90.00
_cell_angle_gamma 90.00
loop_
_symmetry_equiv_pos_as_xyz
'x,y,z'
'-y,x,z'
'-x,-y,z'
'y,-x,z'
'-x,y,z'
'y,x,z'
'x,-y,z'
'-y,-x,z'
loop_
_atom_site_label
_atom_site_fract_x
_atom_site_fract_y
_atom_site_fract_z
Al1 0.0000 0.0000 0.0000
Cd1 0.0000 0.0000 0.4863
Cd2 0.5000 0.5000 0.3068
Te1 0.5000 0.5000 0.8505
# Formation energy without anion corrections: 0.069 eV/atom
# Energy relative to the lowest polymorph listed for this composition: 93 meV/atom

---

Number 1: E_tot -2.88 eV/atom, V 224 Å³/cell. Number 2: E_tot -8.05 eV/atom, V 101 Å³/cell. Number 3: E_tot -3.41 eV/atom, V 265 Å³/cell. Number 4: E_tot -4.88 eV/atom, V 289 Å³/cell. Number 5: E_tot -4.29 eV/atom, V 1537 Å³/cell. Number 6: E_tot -2.11 eV/atom, V 100 Å³/cell.